Entry 1:
# ZrCr4Pb

Crystalline ZrCr4Pb at its relaxed geometry (PBE, Alexandria).

Lattice parameters (Å, degrees): 5.0432 5.0432 5.0432 60.00 60.00 60.00
Positions (direct):
Cr (0.3758, 0.3758, 0.8725)
Cr (0.3758, 0.3758, 0.3758)
Cr (0.8725, 0.3758, 0.3758)
Cr (0.3758, 0.8725, 0.3758)
Zr (0.0000, 0.0000, 0.0000)
Pb (0.7500, 0.7500, 0.7500)

Results
* SG: No. 216
* DOS(E_F): 0.8203 states/eV/atom
* formation energy from the elements: 0.2268 eV/atom


Entry 2:
# AsRuRh2

Crystalline AsRuRh2 at its relaxed geometry (PBE, Alexandria).

Lattice parameters (Å, degrees): 4.7421 4.7421 4.5102 86.30 86.30 35.23
Positions (direct):
As (0.2500, 0.2500, 0.2500)
Rh (0.0161, 0.0161, 0.9929)
Rh (0.4839, 0.4839, 0.5071)
Ru (0.7500, 0.7500, 0.7500)

Results
* SG: No. 12
* DOS(E_F): 0.8446 states/eV/atom
* formation energy from the elements: -0.0047 eV/atom


Entry 3:
# LiPuMg

Crystalline LiPuMg at its relaxed geometry (PBE, Alexandria).

Lattice parameters (Å, degrees): 3.1716 3.1716 8.1197 90.00 90.00 120.00
Positions (direct):
Li (0.6667, 0.3333, 0.3451)
Mg (0.3333, 0.6667, 0.6535)
Pu (0.0000, 0.0000, 0.0014)

Results
* SG: No. 156
* energy above the most stable polymorph in this dataset: 0.0537 eV/atom
* DOS(E_F): 2.5896 states/eV/atom
* formation energy from the elements: 0.1633 eV/atom


Entry 4:
# Mg3In2Hg7

Crystalline Mg3In2Hg7 at its relaxed geometry (PBE, Alexandria).

Lattice parameters (Å, degrees): 3.3710 6.1859 17.3074 126.15 90.00 90.00
Positions (direct):
Hg (0.0000, 0.0000, 0.0000)
Hg (0.0000, 0.6197, 0.1572)
Hg (0.5000, 0.0986, 0.1746)
Hg (0.5000, 0.9014, 0.8254)
Hg (0.0000, 0.3803, 0.8428)
Hg (0.5000, 0.2602, 0.5003)
Hg (0.5000, 0.7398, 0.4997)
Mg (0.5000, 0.5000, 0.0000)
Mg (0.0000, 0.2444, 0.3457)
Mg (0.0000, 0.7556, 0.6543)
In (0.5000, 0.7032, 0.3201)
In (0.5000, 0.2968, 0.6799)

Results
* SG: No. 10
* DOS(E_F): 0.3620 states/eV/atom
* formation energy from the elements: -0.0711 eV/atom


Entry 5:
# Na2TeCBr

Crystalline Na2TeCBr at its relaxed geometry (PBE, Alexandria).

Lattice parameters (Å, degrees): 6.0013 4.2468 6.0013 90.00 90.00 90.00
Positions (direct):
Na (0.0000, 0.0000, 0.5000)
Na (0.5000, 0.0000, 0.0000)
Br (0.5000, 0.5000, 0.5000)
Te (0.0000, 0.0000, 0.0000)
C (0.0000, 0.5000, 0.0000)

Results
* SG: No. 123
* DOS(E_F): 0.4165 states/eV/atom
* E_form (uncorrected): 1.2 eV/f.u.


Entry 6:
# La2MnTe

Crystalline La2MnTe at its relaxed geometry (PBE, Alexandria).

Lattice parameters (Å, degrees): 5.5069 5.5069 3.8047 90.00 90.00 101.98
Positions (direct):
Te (0.0000, 0.5000, 0.5000)
La (0.5000, 0.5000, 0.0000)
La (0.0000, 0.0000, 0.0000)
Mn (0.5000, 0.0000, 0.5000)

Results
* SG: No. 65
* DOS(E_F): 1.0779 states/eV/atom
* E_form (uncorrected): -1.8 eV/f.u.